DFT (PBE) results for crystalline RbNa2UBr8 at its relaxed geometry.

Properties
The calculation puts the density at 3.32 g/cm³. Its uncorrected formation energy is -1.393 eV/atom. The total energy is -44.993 eV per cell. Its crystal system is triclinic.

Unit cell a=6.5747 b=8.0510 c=10.4325 alpha=68.77 beta=85.05 gamma=97.81
With the nearest neighbours (Å) after each atom.
Fractional coordinates of all 12 atoms:
Rb 0.0000 0.0000 0.5000  2 Br 3.41
Br 0.1256 0.7835 0.2377  1 U 2.74
Br 0.7348 0.0910 0.1628  1 U 2.68
Na 0.4611 0.3407 0.6816  4 Br 2.79-3.10
U 0.0000 0.0000 0.0000  6 Br 2.68-2.74
Br 0.5338 0.7191 0.5674  2 Na 2.79-2.81
Br 0.2652 0.9090 0.8372  1 U 2.68
Br 0.2859 0.2848 0.9794  1 U 2.69
Na 0.5389 0.6593 0.3184  4 Br 2.79-3.10
Br 0.4662 0.2809 0.4326  2 Na 2.79-2.81
Br 0.7141 0.7152 0.0206  1 U 2.69
Br 0.8744 0.2165 0.7623  1 U 2.74



DFT (PBE) results for crystalline Rb2NaUBr6 at its relaxed geometry.

Properties
The calculation puts the density at 4.01 g/cm³. Its uncorrected formation energy is -1.550 eV/atom. The total energy is -80.169 eV per cell. Its crystal system is monoclinic.

Unit cell a=7.9633 b=8.3076 c=11.4110 alpha=90.00 beta=90.39 gamma=90.00
With the nearest neighbours (Å) after each atom.
Fractional coordinates of all 20 atoms:
Br 0.9090 0.5227 0.2530  1 U 2.91, 1 Na 2.99
Na 0.0000 0.5000 0.0000  6 Br 2.99-3.04
Br 0.4090 0.9773 0.7530  1 U 2.91, 1 Na 2.99
Br 0.2043 0.1970 0.0462  1 U 2.92, 1 Na 3.04
Br 0.6935 0.2916 0.9535  1 U 2.92, 1 Na 3.04
Br 0.7957 0.8030 0.9538  1 U 2.92, 1 Na 3.04
Rb 0.4795 0.4331 0.2511  6 Br 3.50-3.75
Br 0.8065 0.7916 0.5465  1 U 2.92, 1 Na 3.04
Br 0.1935 0.2084 0.4535  1 U 2.92, 1 Na 3.04
Rb 0.9795 0.0669 0.7511  6 Br 3.50-3.75
Rb 0.0205 0.9331 0.2489  6 Br 3.50-3.75
Br 0.0910 0.4773 0.7470  1 U 2.91, 1 Na 2.99
Na 0.5000 0.0000 0.5000  6 Br 2.99-3.04
U 0.0000 0.5000 0.5000  6 Br 2.91-2.92
Br 0.3065 0.7084 0.0465  1 U 2.92, 1 Na 3.04
Br 0.7043 0.3030 0.5462  1 U 2.92, 1 Na 3.04
Rb 0.5205 0.5669 0.7489  6 Br 3.50-3.75
Br 0.5910 0.0227 0.2470  1 U 2.91, 1 Na 2.99
Br 0.2957 0.6970 0.4538  1 U 2.92, 1 Na 3.04
U 0.5000 0.0000 0.0000  6 Br 2.91-2.92



DFT (PBE) results for crystalline RbNaU2Br8 at its relaxed geometry.

Properties
The calculation puts the density at 4.60 g/cm³. Its uncorrected formation energy is -1.347 eV/atom. The total energy is -54.407 eV per cell. Its crystal system is trigonal.

Unit cell a=7.6396 b=7.6396 c=8.7489 alpha=90.00 beta=90.00 gamma=120.00
With the nearest neighbours (Å) after each atom.
Fractional coordinates of all 12 atoms:
Br 0.3020 0.9363 0.1570  1 Na 2.93, 2 U 2.98-3.05
Br 0.3657 0.3020 0.8430  1 Na 2.93, 2 U 2.98-3.05
Na 0.0000 0.0000 0.0000  6 Br 2.93
Br 0.6980 0.0637 0.8430  1 Na 2.93, 2 U 2.98-3.05
Br 0.6667 0.3333 0.4067  1 U 2.80
Br 0.0637 0.3657 0.1570  1 Na 2.93, 2 U 2.98-3.05
Br 0.3333 0.6667 0.5933  1 U 2.80
Rb 0.0000 0.0000 0.5000  6 Br 3.96, 2 Na 4.37
U 0.6667 0.3333 0.0863  7 Br 2.80-3.05
U 0.3333 0.6667 0.9137  7 Br 2.80-3.05
Br 0.6343 0.6980 0.1570  1 Na 2.93, 2 U 2.98-3.05
Br 0.9363 0.6343 0.8430  1 Na 2.93, 2 U 2.98-3.05



DFT (PBE) results for crystalline RbNa2VBr6 at its relaxed geometry.

Properties
The calculation puts the density at 3.34 g/cm³. Its uncorrected formation energy is -1.274 eV/atom. The total energy is -35.500 eV per cell. Its crystal system is trigonal.

Unit cell a=7.4802 b=7.4801 c=8.0440 alpha=62.30 beta=62.30 gamma=60.00
With the nearest neighbours (Å) after each atom.
Fractional coordinates of all 10 atoms:
Rb 0.8087 0.8087 0.5738  6 Br 3.31-3.60
Na 0.5223 0.5224 0.4330  6 Br 3.02-3.11
Br 0.5446 0.2623 0.2230  1 V 2.59
Br 0.6994 0.1609 0.7790  1 V 2.57
V 0.3299 0.3299 0.0104  6 Br 2.57-2.59
Br 0.3606 0.6994 0.7791  1 V 2.57
Br 0.9701 0.5446 0.2229  1 V 2.59
Br 0.1610 0.3606 0.7790  1 V 2.57
Na 0.0026 0.0027 0.9920  6 Br 2.92-3.12
Br 0.2623 0.9701 0.2230  1 V 2.59



DFT (PBE) results for crystalline Rb3NaV2Br9 at its relaxed geometry.

Properties
The calculation puts the density at 3.84 g/cm³. Its uncorrected formation energy is -1.279 eV/atom. The total energy is -56.705 eV per cell. Its crystal system is trigonal.

Unit cell a=7.6282 b=7.6282 c=9.4520 alpha=90.00 beta=90.00 gamma=120.00
With the nearest neighbours (Å) after each atom.
Fractional coordinates of all 15 atoms:
Br 0.1750 0.8250 0.3158  1 V 2.54
Na 0.0000 0.0000 0.5000  6 Br 2.89
Rb 0.6667 0.3333 0.3372  12 Br 3.82-3.89
Rb 0.0000 0.0000 0.0000  12 Br 3.78-3.81
V 0.6667 0.3333 0.8369  6 Br 2.54-2.69
Br 0.8250 0.1750 0.6842  1 V 2.54
Br 0.3501 0.1750 0.6842  1 V 2.54
Br 0.1750 0.3501 0.3158  1 V 2.54
Br 0.6499 0.8250 0.3158  1 V 2.54
Br 0.8250 0.6499 0.6842  1 V 2.54
Br 0.0000 0.5000 0.0000  2 V 2.69
Br 0.5000 0.0000 0.0000  2 V 2.69
V 0.3333 0.6667 0.1631  6 Br 2.54-2.69
Br 0.5000 0.5000 0.0000  2 V 2.69
Rb 0.3333 0.6667 0.6628  12 Br 3.82-3.89



DFT (PBE) results for crystalline RbNa2WBr8 at its relaxed geometry.

Properties
The calculation puts the density at 3.40 g/cm³. Its uncorrected formation energy is -0.984 eV/atom. The total energy is -41.750 eV per cell. Its crystal system is triclinic.

Unit cell a=6.0663 b=7.9504 c=10.6328 alpha=68.15 beta=79.80 gamma=91.60
With the nearest neighbours (Å) after each atom.
Fractional coordinates of all 12 atoms:
Br 0.1273 0.7924 0.2182  1 W 2.56
Br 0.2503 0.2655 0.9872  1 W 2.51
Na 0.4097 0.3482 0.6852  3 Br 2.80-2.99
Br 0.7497 0.7345 0.0128  1 W 2.51
Br 0.4840 0.7288 0.5555  2 Na 2.80-2.82
Rb 0.0000 0.0000 0.5000  6 Br 3.58-3.90
Br 0.6966 0.0826 0.1490  1 W 2.48
Na 0.5903 0.6518 0.3148  3 Br 2.80-2.99
W 0.0000 0.0000 0.0000  6 Br 2.48-2.56
Br 0.3034 0.9174 0.8510  1 W 2.48
Br 0.8727 0.2076 0.7818  1 W 2.56
Br 0.5160 0.2712 0.4445  2 Na 2.80-2.82